The following is a DFT calculation (PBE-GGA) of Pm3Pr3Y8 after structural relaxation.

Properties
SG: No. 12
Mass density, g cm⁻³: 5.4
E_form, eV per atom: 0.11

Unit cell a=9.8417 b=9.8417 c=5.7562 alpha=106.96 beta=106.96 gamma=103.14
With the nearest neighbours (Å) after each atom.
Fractional coordinates of all 14 atoms:
Pm 0.0000 0.0000 0.0000  2 Pm 3.27
Pm 0.3028 0.3028 0.3021  1 Pm 3.27, 4 Pr 3.57-3.59, 4 Y 3.62
Pm 0.6972 0.6972 0.6979  1 Pm 3.27, 4 Pr 3.57-3.59, 4 Y 3.62
Pr 0.3137 0.6863 0.5000  2 Pm 3.58, 8 Y 3.67-3.70
Pr 0.5000 0.5000 0.0000  4 Pm 3.57-3.59, 4 Y 3.99
Pr 0.6863 0.3137 0.5000  2 Pm 3.58, 8 Y 3.67-3.70
Y 0.0576 0.6194 0.8387  6 Y 3.36-3.59, 3 Pr 3.67-3.69, 1 Pm 3.71
Y 0.0586 0.2627 0.6605  5 Y 3.15-3.47
Y 0.2627 0.0586 0.6605  5 Y 3.15-3.47
Y 0.3806 0.9424 0.1613  6 Y 3.36-3.59, 3 Pr 3.67-3.69, 1 Pm 3.71
Y 0.6194 0.0576 0.8387  6 Y 3.36-3.59, 3 Pr 3.67-3.69, 1 Pm 3.71
Y 0.7373 0.9414 0.3395  5 Y 3.15-3.47
Y 0.9414 0.7373 0.3395  5 Y 3.15-3.47
Y 0.9424 0.3806 0.1613  6 Y 3.36-3.59, 3 Pr 3.67-3.69, 1 Pm 3.71